Entry from Alexandria via LeMat-Bulk: an optimized crystal structure of AcPr2Sm (PBE-GGA).

a = 3.7954 Å, b = 3.7954 Å, c = 12.3287 Å
α = 81.15°, β = 81.15°, γ = 60.00°
Fractional coordinates of all 4 atoms:
1 Ac 0.6670 0.6670 0.9990
2 Sm 0.5003 0.5003 0.4992
3 Pr 0.2470 0.2470 0.2590
4 Pr 0.0857 0.0857 0.7428

---

Entry from Alexandria via LeMat-Bulk: an optimized crystal structure of Ac4Pr2Sm (PBE-GGA).

a = 6.2227 Å, b = 6.2227 Å, c = 9.3009 Å
α = 70.46°, β = 70.46°, γ = 60.00°
Fractional coordinates of all 7 atoms:
1 Pr 0.1358 0.1358 0.5926
2 Pr 0.8642 0.8642 0.4074
3 Sm 0.0000 0.0000 0.0000
4 Ac 0.4223 0.4223 0.7330
5 Ac 0.7260 0.7260 0.8221
6 Ac 0.2740 0.2740 0.1779
7 Ac 0.5777 0.5777 0.2670

---

Listing raw total energy for the structures above in their given order: -18.27 -29.63 eV per cell.
Listing M_tot for the structures above in their given order: 0.000 0.002 μB/cell.
Listing calculated density for the structures above in their given order: 7.2 7.7 Mg/m³.